A relaxed Ca3Dy3CdSe8 crystal, computed with PBE-GGA.

Computed properties:
- formation energy (no corrections) (kJ/mol of atoms) = -165.66

Cell: 8.303 8.303 8.303 Å, 59.30 59.30 59.30°
Fractional positions:
Ca: 0.000 0.500 0.500
Ca: 0.500 0.000 0.500
Ca: 0.500 0.500 0.000
Dy: 0.000 0.000 0.500
Dy: 0.000 0.500 0.000
Dy: 0.500 0.000 0.000
Cd: 0.500 0.500 0.500
Se: 0.245 0.748 0.748
Se: 0.248 0.248 0.248
Se: 0.252 0.252 0.755
Se: 0.252 0.755 0.252
Se: 0.748 0.245 0.748
Se: 0.748 0.748 0.245
Se: 0.752 0.752 0.752
Se: 0.755 0.252 0.252



A relaxed CaDyCdSi crystal, computed with PBE-GGA.

Computed properties:
- formation energy (no corrections) (kJ/mol of atoms) = -32.22

Cell: 7.285 7.285 7.285 Å, 90.00 90.00 90.00°
Fractional positions:
Ca: 0.000 0.000 0.000
Ca: 0.000 0.500 0.500
Ca: 0.500 0.000 0.500
Ca: 0.500 0.500 0.000
Dy: 0.000 0.000 0.500
Dy: 0.000 0.500 0.000
Dy: 0.500 0.000 0.000
Dy: 0.500 0.500 0.500
Cd: 0.250 0.250 0.250
Cd: 0.250 0.750 0.750
Cd: 0.750 0.250 0.750
Cd: 0.750 0.750 0.250
Si: 0.250 0.250 0.750
Si: 0.250 0.750 0.250
Si: 0.750 0.250 0.250
Si: 0.750 0.750 0.750



A relaxed CaSmDyCd crystal, computed with PBE-GGA.

Computed properties:
- energy relative to the elements (meV/atom) = -18
- excess energy over the best structure of this formula in the dataset (meV per atom) = 119

Cell: 7.841 7.841 7.841 Å, 90.00 90.00 90.00°
Fractional positions:
Ca: 0.000 0.000 0.000
Ca: 0.000 0.500 0.500
Ca: 0.500 0.000 0.500
Ca: 0.500 0.500 0.000
Sm: 0.250 0.250 0.750
Sm: 0.250 0.750 0.250
Sm: 0.750 0.250 0.250
Sm: 0.750 0.750 0.750
Dy: 0.250 0.250 0.250
Dy: 0.250 0.750 0.750
Dy: 0.750 0.250 0.750
Dy: 0.750 0.750 0.250
Cd: 0.000 0.000 0.500
Cd: 0.000 0.500 0.000
Cd: 0.500 0.000 0.000
Cd: 0.500 0.500 0.500



A relaxed CaSmDyCd crystal, computed with PBE-GGA.

Computed properties:
- energy relative to the elements (meV/atom) = -137
- excess energy over the best structure of this formula in the dataset (meV per atom) = 0

Cell: 3.629 3.629 9.478 Å, 90.00 90.00 90.00°
Fractional positions:
Ca: 0.000 0.000 0.000
Sm: 0.500 0.500 0.308
Dy: 0.000 0.000 0.566
Cd: 0.500 0.500 0.775



A relaxed CaDyCdSn crystal, computed with PBE-GGA.

Computed properties:
- energy relative to the elements (meV/atom) = -488

Cell: 7.564 7.564 7.564 Å, 90.00 90.00 90.00°
Fractional positions:
Ca: 0.000 0.000 0.000
Ca: 0.000 0.500 0.500
Ca: 0.500 0.000 0.500
Ca: 0.500 0.500 0.000
Dy: 0.000 0.000 0.500
Dy: 0.000 0.500 0.000
Dy: 0.500 0.000 0.000
Dy: 0.500 0.500 0.500
Cd: 0.250 0.250 0.750
Cd: 0.250 0.750 0.250
Cd: 0.750 0.250 0.250
Cd: 0.750 0.750 0.750
Sn: 0.250 0.250 0.250
Sn: 0.250 0.750 0.750
Sn: 0.750 0.250 0.750
Sn: 0.750 0.750 0.250



A relaxed CaEr2Cd crystal, computed with PBE-GGA.

Computed properties:
- energy relative to the elements (meV/atom) = 15
- excess energy over the best structure of this formula in the dataset (meV per atom) = 73

Cell: 7.733 7.733 7.733 Å, 90.00 90.00 90.00°
Fractional positions:
Ca: 0.000 0.000 0.000
Ca: 0.000 0.500 0.500
Ca: 0.500 0.000 0.500
Ca: 0.500 0.500 0.000
Er: 0.250 0.250 0.250
Er: 0.250 0.250 0.750
Er: 0.250 0.750 0.250
Er: 0.250 0.750 0.750
Er: 0.750 0.250 0.250
Er: 0.750 0.250 0.750
Er: 0.750 0.750 0.250
Er: 0.750 0.750 0.750
Cd: 0.000 0.000 0.500
Cd: 0.000 0.500 0.000
Cd: 0.500 0.000 0.000
Cd: 0.500 0.500 0.500